! LiInAu2 | the Open Quantum Materials Database | PBE-GGA | optimized geometry; values from VASP
&SYSTEM
  ibrav = 0, nat = 8, ntyp = 3
/
ATOMIC_SPECIES
In 114.82 In.upf
Li 6.94 Li.upf
Au 196.97 Au.upf
ATOMIC_POSITIONS crystal
In 0.333 0.667 0.750
In 0.667 0.333 0.250
Li 0.000 0.000 0.250
Li 0.000 0.000 0.750
Au 0.333 0.667 0.416
Au 0.667 0.333 0.584
Au 0.667 0.333 0.916
Au 0.333 0.667 0.084
CELL_PARAMETERS angstrom
2.449 0.848 3.876
-2.984 3.197 -1.618
-6.023 -3.327 4.534
! symmetry: P6_3/mmc
! calculated total energy: -3.063 eV/atom
! volume: 155.13 Å³ per cell